Entry from Alexandria: a relaxed LiFe6O7F5 crystal (GGA+U).

Output
Final energy ... -114.596 eV per formula unit

```
19
Lattice="5.824 0.000 0.000 -0.943 5.961 0.000 -1.040 -1.268 5.858" Properties=species:S:1:pos:R:3 pbc="T T T"
Li 0.000 0.000 0.000
Fe -0.086 1.385 3.593
Fe 1.025 3.583 0.804
Fe 0.861 4.363 3.867
Fe 3.007 0.581 2.072
Fe 2.652 1.449 5.146
Fe 3.960 3.509 2.221
O 0.146 3.002 2.471
O 1.578 0.397 3.473
O 0.999 2.653 4.906
O 2.774 2.288 1.065
O 2.258 4.534 2.424
O 3.774 1.839 3.519
O 4.747 3.935 0.430
F -1.202 4.503 3.963
F -0.554 0.690 5.465
F 0.873 5.684 0.666
F 3.029 -0.677 5.219
F 5.060 0.415 1.862
```